(1)
Dy2Ti2O7 | PBE | relaxed

The structure in extended XYZ format:
```
88
Lattice="6.293 -3.599 0.000 6.293 3.599 0.000 -4.430 0.000 23.366" Properties=species:S:1:pos:R:3 pbc="T T T"
Dy 0.000 0.000 0.000
Dy 0.771 1.811 20.483
Dy -2.337 0.000 20.421
Dy 3.260 1.822 8.646
Dy 0.080 0.000 9.030
Dy -0.065 0.000 17.528
Dy 4.895 1.822 14.720
Dy 7.385 1.811 2.883
Dy 4.078 0.000 11.683
Dy 0.771 -1.811 20.483
Dy 3.260 -1.822 8.646
Dy 8.221 0.000 5.838
Dy 8.075 0.000 14.337
Dy 4.895 -1.822 14.720
Dy 10.492 0.000 2.945
Dy 7.385 -1.811 2.883
Ti -2.215 0.000 11.683
Ti 3.146 1.800 0.000
Ti 0.932 1.800 11.683
Ti 2.865 1.854 17.501
Ti 5.291 1.854 5.866
Ti 2.197 0.000 5.863
Ti 1.868 0.000 14.737
Ti 4.231 0.000 2.949
Ti 3.146 -1.800 0.000
Ti 0.932 -1.800 11.683
Ti 6.293 0.000 0.000
Ti 3.924 0.000 20.417
Ti 6.287 0.000 8.629
Ti 5.958 0.000 17.503
Ti 2.865 -1.854 17.501
Ti 5.291 -1.854 5.866
O -2.414 0.000 13.590
O -0.009 0.000 2.202
O -2.771 0.000 18.016
O 1.028 2.133 17.964
O 3.328 1.484 1.937
O 1.289 1.381 13.610
O 2.855 2.010 11.299
O 3.297 1.510 6.244
O 2.830 2.089 15.622
O 0.627 1.481 22.894
O -1.953 0.000 22.907
O -0.130 0.000 15.372
O 5.326 2.089 7.744
O 2.468 0.000 3.927
O 1.146 0.000 11.082
O 5.055 1.445 3.926
O 1.975 0.000 7.933
O -0.233 0.000 19.735
O 5.301 2.010 12.067
O 3.101 1.445 19.440
O 7.128 2.133 5.402
O 7.529 1.481 0.473
O 2.194 0.000 16.906
O 4.859 1.510 17.122
O 4.446 0.000 9.441
O 1.289 -1.381 13.610
O 5.910 0.000 1.918
O 3.328 -1.484 1.937
O 4.828 1.484 21.430
O 2.245 0.000 21.448
O 6.867 1.381 9.756
O 3.710 0.000 13.926
O 3.297 -1.510 6.244
O 5.962 0.000 6.461
O 0.627 -1.481 22.894
O 1.028 -2.133 17.964
O 5.055 -1.445 3.926
O 2.855 -2.010 11.299
O 8.389 0.000 3.631
O 6.181 0.000 15.433
O 3.101 -1.445 19.440
O 7.010 0.000 12.285
O 5.687 0.000 19.439
O 2.830 -2.089 15.622
O 8.286 0.000 7.994
O 10.109 0.000 0.459
O 7.529 -1.481 0.473
O 5.326 -2.089 7.744
O 4.859 -1.510 17.122
O 5.301 -2.010 12.067
O 6.867 -1.381 9.756
O 4.828 -1.484 21.430
O 7.128 -2.133 5.402
O 10.926 0.000 5.350
O 8.164 0.000 21.164
O 10.570 0.000 9.776
```

Values from the calculation:
- theoretical density (g/cm³) = 6.7
- formation energy without anion corrections (eV/atom) = -3.302
- Fermi-level density of states (states/eV per cell) = 0.0
- symmetry = C2/m, No. 12
- total magnetization (μB/atom) = 0.000

=====

(2)
DyTi2O4 | PBE | relaxed

The structure in extended XYZ format:
```
14
Lattice="1.576 -4.864 0.000 1.576 4.864 0.000 0.000 0.000 10.205" Properties=species:S:1:pos:R:3 pbc="T T T"
Dy 1.576 3.631 7.654
Dy 1.576 -3.631 2.551
Ti 1.576 1.146 5.711
Ti 1.576 1.146 9.596
Ti 1.576 -1.146 0.609
Ti 1.576 -1.146 4.494
O 0.000 0.000 0.000
O 0.000 0.000 5.102
O 1.576 2.255 1.156
O 1.576 2.255 3.947
O 1.576 0.419 7.654
O 1.576 -0.419 2.551
O 1.576 -2.255 6.258
O 1.576 -2.255 9.049
```

Values from the calculation:
- theoretical density (g/cm³) = 6.8
- formation energy without anion corrections (eV/atom) = -2.929
- Fermi-level density of states (states/eV per cell) = 7.1
- symmetry = Cmcm, No. 63
- total magnetization (μB/atom) = 0.000

=====

(3)
DyTi4O6 | PBE | relaxed

The structure in extended XYZ format:
```
22
Lattice="1.539 -4.966 0.000 1.539 4.966 0.000 0.000 0.000 15.037" Properties=species:S:1:pos:R:3 pbc="T T T"
Dy 1.539 3.444 11.278
Dy 1.539 -3.444 3.759
Ti 1.539 3.944 1.823
Ti 1.539 3.944 5.696
Ti 1.539 1.438 0.557
Ti 1.539 1.438 6.961
Ti 1.539 -1.438 8.076
Ti 1.539 -1.438 14.480
Ti 1.539 -3.944 9.341
Ti 1.539 -3.944 13.214
O 0.000 0.000 0.000
O 0.000 0.000 7.518
O 1.539 3.185 3.759
O 1.539 2.425 8.996
O 1.539 2.425 13.560
O 1.539 0.382 2.381
O 1.539 0.382 5.138
O 1.539 -0.382 9.899
O 1.539 -0.382 12.656
O 1.539 -2.425 1.477
O 1.539 -2.425 6.041
O 1.539 -3.185 11.278
```

Values from the calculation:
- theoretical density (g/cm³) = 6.5
- formation energy without anion corrections (eV/atom) = -2.773
- Fermi-level density of states (states/eV per cell) = 6.5
- symmetry = Cmcm, No. 63
- total magnetization (μB/atom) = 0.000

=====

(4)
Dy3TiO | PBE | relaxed

The structure in extended XYZ format:
```
5
Lattice="4.776 0.000 0.000 0.000 4.776 0.000 0.000 0.000 4.776" Properties=species:S:1:pos:R:3 pbc="T T T"
Dy 0.000 0.000 2.388
Dy 0.000 2.388 0.000
Dy 2.388 0.000 0.000
Ti 2.388 2.388 2.388
O 0.000 0.000 0.000
```

Values from the calculation:
- theoretical density (g/cm³) = 8.4
- formation energy without anion corrections (eV/atom) = -1.039
- Fermi-level density of states (states/eV per cell) = 6.5
- symmetry = Pm-3m, No. 221
- total magnetization (μB/atom) = 0.265

=====

(5)
Dy2Ti2O7 | PBE | relaxed

The structure in extended XYZ format:
```
22
Lattice="-3.477 3.690 5.169 3.477 -3.690 5.169 3.477 3.690 -5.169" Properties=species:S:1:pos:R:3 pbc="T T T"
Dy 1.738 1.845 -2.585
Dy 1.738 -1.845 2.585
Dy -1.738 1.845 2.585
Dy 1.738 1.845 2.585
Ti 0.000 0.000 0.000
Ti 3.477 0.000 0.000
Ti 0.000 3.690 0.000
Ti 0.000 0.000 5.169
O 1.559 -0.079 1.244
O 5.394 -0.079 1.244
O 3.477 1.845 -1.194
O 0.000 1.845 0.508
O 3.477 1.845 1.193
O 1.559 3.612 -1.244
O 1.917 -0.079 3.925
O 1.559 3.769 1.244
O 1.917 0.079 6.414
O 0.000 1.845 3.976
O 3.477 1.845 4.661
O 0.000 1.845 6.363
O -1.917 3.769 3.925
O 1.917 3.769 3.925
```

Values from the calculation:
- theoretical density (g/cm³) = 6.7
- formation energy without anion corrections (eV/atom) = -2.980
- symmetry = Imma, No. 74
- total magnetization (μB/atom) = 0.000

=====

(6)
Dy2Ti2O7 | PBE | relaxed

The structure in extended XYZ format:
```
44
Lattice="7.515 0.000 0.000 0.000 5.352 0.000 -1.919 0.000 13.094" Properties=species:S:1:pos:R:3 pbc="T T T"
Dy 0.946 0.000 0.818
Dy 0.946 2.188 5.585
Dy 0.928 4.732 8.300
Dy 0.963 2.247 11.598
Dy 4.633 4.923 1.496
Dy 4.669 2.056 4.795
Dy 4.650 4.864 7.509
Dy 4.650 2.676 12.276
Ti -0.967 2.177 8.172
Ti -1.049 4.949 10.751
Ti 2.755 2.327 2.250
Ti 2.810 4.851 4.863
Ti 2.787 2.175 8.231
Ti 2.842 5.002 10.844
Ti 6.645 2.273 2.344
Ti 6.564 4.853 4.923
O -1.242 0.376 8.891
O -0.559 3.609 6.891
O -1.189 1.087 11.885
O -0.440 3.165 9.608
O -0.735 3.786 12.191
O 0.940 1.677 2.401
O 0.927 5.284 5.012
O 0.915 1.544 7.753
O 0.912 0.101 10.540
O 2.518 3.939 1.531
O 3.003 1.229 0.694
O 2.546 3.042 4.225
O 2.401 3.593 6.924
O 2.240 3.171 9.654
O 3.357 0.495 3.440
O 3.195 0.917 6.170
O 3.050 0.367 8.869
O 2.593 3.904 12.400
O 3.078 1.263 11.564
O 4.685 2.776 2.555
O 4.682 4.220 5.342
O 4.670 2.608 8.082
O 4.657 4.353 10.694
O 6.331 1.110 0.904
O 6.036 0.490 3.486
O 6.785 3.763 1.209
O 6.156 0.934 6.204
O 6.839 3.052 4.204
```

Values from the calculation:
- theoretical density (g/cm³) = 6.7
- formation energy without anion corrections (eV/atom) = -3.348
- Fermi-level density of states (states/eV per cell) = 0.0
- symmetry = P2_1, No. 4
- total magnetization (μB/atom) = 0.000

=====

(7)
DyTiO3 | PBE | relaxed

The structure in extended XYZ format:
```
10
Lattice="6.037 0.000 0.000 0.000 3.749 0.000 -1.766 0.000 5.968" Properties=species:S:1:pos:R:3 pbc="T T T"
Dy -0.257 0.937 1.500
Dy 4.529 2.812 4.468
Ti 1.751 0.937 4.232
Ti 2.520 2.812 1.736
O -0.172 0.937 3.901
O 0.874 2.812 0.664
O 2.001 0.937 2.171
O 2.270 2.812 3.797
O 3.397 0.937 5.304
O 4.443 2.812 2.067
```

Values from the calculation:
- theoretical density (g/cm³) = 6.4
- formation energy without anion corrections (eV/atom) = -3.151
- Fermi-level density of states (states/eV per cell) = 3.2
- symmetry = P2_1/m, No. 11
- total magnetization (μB/atom) = 0.200

=====

(8)
Dy2TiO | PBE | relaxed

The structure in extended XYZ format:
```
4
Lattice="1.666 0.962 8.643 -1.666 0.962 8.643 0.000 -1.924 8.643" Properties=species:S:1:pos:R:3 pbc="T T T"
Dy 0.000 0.000 2.918
Dy 0.000 0.000 23.010
Ti 0.000 0.000 0.000
O 0.000 0.000 12.964
```

Values from the calculation:
- theoretical density (g/cm³) = 7.8
- formation energy without anion corrections (eV/atom) = -0.971
- Fermi-level density of states (states/eV per cell) = 3.0
- symmetry = R-3m, No. 166
- total magnetization (μB/atom) = 0.379

=====

(9)
DyTiO2 | PBE | relaxed

The structure in extended XYZ format:
```
4
Lattice="1.645 0.950 6.296 -1.645 0.950 6.296 0.000 -1.899 6.296" Properties=species:S:1:pos:R:3 pbc="T T T"
Dy 0.000 0.000 0.000
Ti 0.000 0.000 9.444
O 0.000 0.000 2.219
O 0.000 0.000 16.669
```

Values from the calculation:
- theoretical density (g/cm³) = 6.8
- formation energy without anion corrections (eV/atom) = -2.330
- Fermi-level density of states (states/eV per cell) = 2.2
- symmetry = R-3m, No. 166
- total magnetization (μB/atom) = 0.251

=====

(10)
Dy3Ti5O12 | PBE | relaxed

The structure in extended XYZ format:
```
80
Lattice="-6.296 6.296 6.296 6.296 -6.296 6.296 6.296 6.296 -6.296" Properties=species:S:1:pos:R:3 pbc="T T T"
Dy 3.148 1.574 0.000
Dy 6.296 3.148 -1.574
Dy 1.574 0.000 3.148
Dy 7.869 0.000 3.148
Dy 0.000 3.148 1.574
Dy 3.148 -1.574 6.296
Dy 3.148 7.869 0.000
Dy 6.296 3.148 4.722
Dy -1.574 6.296 3.148
Dy 4.722 6.296 3.148
Dy 0.000 3.148 7.869
Dy 3.148 4.722 6.296
Ti 0.000 0.000 0.000
Ti 3.148 3.148 -3.148
Ti 3.148 -3.148 3.148
Ti 6.296 0.000 0.000
Ti 9.443 1.574 0.000
Ti 6.296 -3.148 4.722
Ti 4.722 6.296 -3.148
Ti 4.722 0.000 3.148
Ti 3.148 4.722 0.000
Ti 6.296 3.148 1.574
Ti -3.148 3.148 3.148
Ti 0.000 6.296 0.000
Ti 0.000 0.000 6.296
Ti 3.148 3.148 3.148
Ti 0.000 3.148 4.722
Ti 3.148 1.574 6.296
Ti 1.574 6.296 3.148
Ti 1.574 0.000 9.443
Ti 0.000 9.443 1.574
Ti -3.148 4.722 6.296
O 1.924 -0.344 0.735
O 7.519 3.883 -3.492
O 8.220 0.344 0.735
O 7.519 -2.412 3.492
O 5.951 -0.735 1.924
O 9.788 -1.223 2.412
O 0.735 1.924 -0.344
O 8.708 2.803 -1.223
O 3.883 3.492 -1.223
O 5.560 1.924 0.344
O -0.344 0.735 1.924
O 3.492 -1.223 3.883
O 5.951 5.560 -1.924
O 3.492 1.223 2.412
O 3.883 -3.492 7.519
O 5.560 -1.924 5.951
O 2.412 3.492 1.223
O 7.031 4.371 0.344
O 3.492 7.519 -2.412
O 5.951 0.735 4.371
O 1.924 5.951 -0.735
O 7.519 2.412 2.803
O 1.223 2.412 3.492
O 1.924 0.344 5.560
O 4.371 5.951 0.735
O 5.072 3.883 2.803
O -1.223 3.883 3.492
O 4.371 0.344 7.031
O 0.344 5.560 1.924
O 2.803 -1.223 8.708
O -0.735 1.924 5.951
O 3.883 2.803 5.072
O 0.735 8.220 0.344
O 2.412 9.788 -1.223
O 2.803 5.072 3.883
O 0.344 0.735 8.220
O 2.803 7.519 2.412
O 6.640 5.560 4.371
O 0.735 4.371 5.951
O 2.412 2.803 7.519
O -2.412 3.492 7.519
O 5.560 4.371 6.640
O -3.492 7.519 3.883
O 0.344 7.031 4.371
O -1.223 8.708 2.803
O -1.924 5.951 5.560
O -1.223 2.412 9.788
O 4.371 6.640 5.560
```

Values from the calculation:
- theoretical density (g/cm³) = 6.1
- formation energy without anion corrections (eV/atom) = -3.057
- Fermi-level density of states (states/eV per cell) = 42.2
- symmetry = Ia-3d, No. 230
- total magnetization (μB/atom) = 0.212

=====

(11)
Dy3TiO6 | PBE | relaxed

The structure in extended XYZ format:
```
20
Lattice="4.521 -5.430 0.000 4.521 5.430 0.000 0.000 0.000 5.464" Properties=species:S:1:pos:R:3 pbc="T T T"
Dy 4.521 4.307 2.732
Dy 2.732 1.163 3.012
Dy 2.732 -1.163 0.280
Dy 6.310 1.163 3.012
Dy 6.310 -1.163 0.280
Dy 4.521 -4.307 0.000
Ti 4.521 1.738 0.381
Ti 4.521 -1.738 3.113
O 3.157 2.703 1.317
O 1.414 0.160 1.514
O 1.414 -0.160 4.247
O 4.521 2.399 4.046
O 5.885 2.703 1.317
O 4.521 0.163 1.833
O 4.521 -0.163 4.566
O 3.157 -2.703 4.049
O 4.521 -2.399 1.314
O 7.629 0.160 1.514
O 7.629 -0.160 4.247
O 5.885 -2.703 4.049
```

Values from the calculation:
- theoretical density (g/cm³) = 7.8
- formation energy without anion corrections (eV/atom) = -3.338
- Fermi-level density of states (states/eV per cell) = 4.6
- symmetry = Cmc2_1, No. 36
- total magnetization (μB/atom) = 0.027

=====

(12)
Dy2Ti2O7 | PBE | relaxed

The structure in extended XYZ format:
```
22
Lattice="0.000 5.085 5.085 5.085 0.000 5.085 5.085 5.085 0.000" Properties=species:S:1:pos:R:3 pbc="T T T"
Dy 0.000 0.000 0.000
Dy 2.543 2.543 0.000
Dy 2.543 0.000 2.543
Dy 0.000 2.543 2.543
Ti 5.085 2.543 2.543
Ti 2.543 5.085 2.543
Ti 2.543 2.543 5.085
Ti 5.085 5.085 5.085
O 1.271 1.271 1.271
O 3.814 3.814 1.727
O 3.814 1.727 3.814
O 5.901 3.814 3.814
O 6.356 6.356 4.270
O 6.356 4.270 6.356
O 8.443 6.356 6.356
O 1.727 3.814 3.814
O 3.814 5.901 3.814
O 3.814 3.814 5.901
O 4.270 6.356 6.356
O 6.356 8.443 6.356
O 6.356 6.356 8.443
O 8.899 8.899 8.899
```

Values from the calculation:
- theoretical density (g/cm³) = 6.7
- formation energy without anion corrections (eV/atom) = -3.329
- Fermi-level density of states (states/eV per cell) = 0.0
- symmetry = Fd-3m, No. 227
- total magnetization (μB/atom) = 0.000